#one
Below is a geometry-optimized ZnSb2Cl structure, with properties calculated at the PBE-GGA level.

Unit cell a=3.498 b=3.498 c=9.640 alpha=90.00 beta=90.00 gamma=115.26
Element x y z (fractional)
Zn (0.000, 0.000, 0.000)
Sb (0.000, 0.000, 0.463)
Sb (0.500, 0.500, 0.222)
Cl (0.500, 0.500, 0.842)

Properties
Size of the total moment: 0.00 μB/f.u.
Space group: No. 35

***

#two
Below is a geometry-optimized ZnSb2Cl structure, with properties calculated at the PBE-GGA level.

Unit cell a=3.463 b=3.463 c=8.153 alpha=90.00 beta=90.00 gamma=102.88
Element x y z (fractional)
Zn (0.000, 0.000, 0.000)
Sb (0.500, 0.500, 0.215)
Sb (0.500, 0.500, 0.785)
Cl (0.000, 0.000, 0.500)

Properties
Size of the total moment: 0.00 μB/f.u.
Space group: No. 65

***

#one comes first in stability; the runner-up is 88 meV per atom higher.

***

#one
Below is a geometry-optimized ZnSbCl structure, with properties calculated at the PBE-GGA level.

Unit cell a=4.902 b=4.902 c=4.902 alpha=60.00 beta=60.00 gamma=60.00
Element x y z (fractional)
Zn (0.000, 0.000, 0.000)
Sb (0.500, 0.500, 0.500)
Cl (0.250, 0.250, 0.250)

Properties
Size of the total moment: 0.77 μB/f.u.
Space group: No. 216

***

#two
Below is a geometry-optimized ZnSbCl structure, with properties calculated at the PBE-GGA level.

Unit cell a=5.269 b=6.195 c=6.291 alpha=75.20 beta=88.92 gamma=88.35
Element x y z (fractional)
Zn (0.000, 0.000, 0.000)
Zn (0.439, 0.600, 0.270)
Sb (0.939, 0.569, 0.150)
Sb (0.944, 0.415, 0.755)
Cl (0.391, 0.996, 0.223)
Cl (0.432, 0.466, 0.682)

Properties
Size of the total moment: 0.00 μB/f.u.
Space group: No. 1

***

#two comes first in stability; the runner-up is 933 meV per atom higher.

***

#one
Below is a geometry-optimized ZrSbCl3 structure, with properties calculated at the PBE-GGA level.

Unit cell a=5.439 b=5.439 c=5.439 alpha=90.00 beta=90.00 gamma=90.00
Element x y z (fractional)
Zr (0.000, 0.000, 0.000)
Sb (0.500, 0.500, 0.500)
Cl (0.000, 0.500, 0.500)
Cl (0.500, 0.000, 0.500)
Cl (0.500, 0.500, 0.000)

Properties
Size of the total moment: 3.05 μB/f.u.
Space group: No. 221

***

#two
Below is a geometry-optimized ZrSbCl3 structure, with properties calculated at the PBE-GGA level.

Unit cell a=5.157 b=5.157 c=5.157 alpha=90.00 beta=90.00 gamma=90.00
Element x y z (fractional)
Zr (0.000, 0.000, 0.000)
Sb (0.500, 0.500, 0.500)
Cl (0.000, 0.000, 0.500)
Cl (0.000, 0.500, 0.000)
Cl (0.500, 0.000, 0.000)

Properties
Size of the total moment: 2.90 μB/f.u.
Space group: No. 221

***

#two comes first in stability; the runner-up is 919 meV per atom higher.